# 1
# TiPtO3

A PBEsol-optimized structure of TiPtO3 (SCAN, Alexandria via LeMat-Bulk).

Structure (extended XYZ):
```
5
Lattice="3.830 0.000 0.000 0.000 3.830 0.000 0.000 0.000 3.830" Properties=species:S:1:pos:R:3 pbc="T T T"
Ti 0.000 0.000 0.000
Pt 1.915 1.915 1.915
O 0.000 0.000 1.915
O 0.000 1.915 0.000
O 1.915 0.000 0.000
```

Results
The value obtained for the total energy is -22.274 eV per atom. The raw formation energy comes out at -1.2908 eV per atom. The calculated volume comes out at 11.24 Å³ per atom.

# 2
# TlPt3O4

A PBEsol-optimized structure of TlPt3O4 (SCAN, Alexandria via LeMat-Bulk).

Structure (extended XYZ):
```
16
Lattice="0.000 4.823 4.823 4.823 0.000 4.823 4.823 4.823 0.000" Properties=species:S:1:pos:R:3 pbc="T T T"
Tl 0.000 0.000 0.000
Tl 4.823 4.823 4.823
Pt 2.412 2.412 0.000
Pt 2.412 0.000 2.412
Pt 4.823 2.412 2.412
Pt 0.000 2.412 2.412
Pt 2.412 4.823 2.412
Pt 2.412 2.412 4.823
O 1.379 1.379 1.379
O 3.444 3.444 1.379
O 3.444 1.379 3.444
O 8.268 6.202 6.202
O 1.379 3.444 3.444
O 6.202 8.268 6.202
O 6.202 6.202 8.268
O 8.268 8.268 8.268
```

Results
The value obtained for the total energy is -39.154 eV per atom. The raw formation energy comes out at -0.6711 eV per atom. The calculated volume comes out at 14.03 Å³ per atom.

# 3
# Tl2Pt2O7

A PBEsol-optimized structure of Tl2Pt2O7 (SCAN, Alexandria via LeMat-Bulk).

Structure (extended XYZ):
```
22
Lattice="0.000 5.089 5.089 5.089 0.000 5.089 5.089 5.089 0.000" Properties=species:S:1:pos:R:3 pbc="T T T"
Tl 0.000 0.000 0.000
Tl 2.544 2.544 0.000
Tl 2.544 0.000 2.544
Tl 0.000 2.544 2.544
Pt 5.089 2.544 2.544
Pt 2.544 5.089 2.544
Pt 2.544 2.544 5.089
Pt 5.089 5.089 5.089
O 1.272 1.272 1.272
O 3.817 3.817 1.684
O 3.817 1.684 3.817
O 5.949 3.817 3.817
O 6.361 6.361 4.229
O 6.361 4.229 6.361
O 8.494 6.361 6.361
O 1.684 3.817 3.817
O 3.817 5.949 3.817
O 3.817 3.817 5.949
O 4.229 6.361 6.361
O 6.361 8.494 6.361
O 6.361 6.361 8.494
O 8.906 8.906 8.906
```

Results
The value obtained for the total energy is -30.744 eV per atom. The raw formation energy comes out at -0.8602 eV per atom. The calculated volume comes out at 11.98 Å³ per atom.

Number 1: total magnetic moment 2.00 μB/cell. Number 2: total magnetic moment 0.00 μB/cell. Number 3: total magnetic moment 0.00 μB/cell.